# SmHoTeC (PBE, optimized geometry)
# * raw total energy: -0.2286 Ha/atom
# * total magnetization: 0.00 μB/cell
# * formation energy (no corrections): -806 meV/atom
data_SmHoTeC
_chemical_formula_sum 'Sm3 Ho3 Te3 C3'
_space_group_name_H-M_alt 'R 3 m'
_space_group_IT_number 160
_space_group_name_Hall 'R 3 -2"'
_cell_length_a 3.8489
_cell_length_b 3.8489
_cell_length_c 21.5101
_cell_angle_alpha 90.00
_cell_angle_beta 90.00
_cell_angle_gamma 120.00
loop_
_atom_site_label
_atom_site_type_symbol
_atom_site_fract_x
_atom_site_fract_y
_atom_site_fract_z
_atom_site_occupancy
Sm1 Sm 0.0000 0.0000 0.0000 1
Ho1 Ho 0.0000 0.0000 0.7914 1
Te1 Te 0.0000 0.0000 0.2259 1
C1 C 0.0000 0.0000 0.3981 1

=====

# Ho4SnC (PBE, optimized geometry)
# * E_form: -399.4 meV per atom
# * raw total energy: -0.2078 Ha/atom
# * total magnetization: 0.00 μB/cell
data_Ho4SnC
_chemical_formula_sum 'Ho16 Sn4 C4'
_space_group_name_H-M_alt 'C m c m'
_space_group_IT_number 63
_space_group_name_Hall '-C 2c 2'
_cell_length_a 4.8698
_cell_length_b 18.3992
_cell_length_c 6.7528
_cell_angle_alpha 90.00
_cell_angle_beta 90.00
_cell_angle_gamma 90.00
loop_
_atom_site_label
_atom_site_type_symbol
_atom_site_fract_x
_atom_site_fract_y
_atom_site_fract_z
_atom_site_occupancy
Ho1 Ho 0.0000 0.0000 0.0000 1
Ho2 Ho 0.0000 0.1837 0.0046 1
Ho3 Ho 0.0000 0.4025 0.2500 1
Sn1 Sn 0.0000 0.4081 0.7500 1
C1 C 0.0000 0.0972 0.7500 1

=====

# Ho8Sn2C (PBE, optimized geometry)
# * E_form: -191.5 meV per atom
# * raw total energy: -0.1869 Ha/atom
# * total magnetization: 0.00 μB/cell
data_Ho8Sn2C
_chemical_formula_sum 'Ho16 Sn4 C2'
_space_group_name_H-M_alt 'C 1 2/m 1'
_space_group_IT_number 12
_cell_length_a 17.8465
_cell_length_b 5.3571
_cell_length_c 6.3513
_cell_angle_alpha 90.00
_cell_angle_beta 109.77
_cell_angle_gamma 90.00
loop_
_space_group_symop_operation_xyz
'x,y,z'
'-x,-y,-z'
'-x,y,-z'
'x,-y,z'
'x+1/2,y+1/2,z'
'-x+1/2,-y+1/2,-z'
'-x+1/2,y+1/2,-z'
'x+1/2,-y+1/2,z'
loop_
_atom_site_label
_atom_site_type_symbol
_atom_site_fract_x
_atom_site_fract_y
_atom_site_fract_z
_atom_site_occupancy
Ho1 Ho 0.0057 0.0000 0.2456 1
Ho2 Ho 0.0824 0.5000 0.7680 1
Ho3 Ho 0.1267 0.5000 0.3057 1
Ho4 Ho 0.2159 0.0000 0.1477 1
Sn1 Sn 0.1750 0.0000 0.6269 1
C1 C 0.0000 0.5000 0.0000 1

=====

# Ho2SnC (PBE, optimized geometry)
# * E_form: -556.9 meV per atom
# * raw total energy: -0.2261 Ha/atom
# * total magnetization: 0.00 μB/cell
data_Ho2SnC
_chemical_formula_sum 'Ho6 Sn3 C3'
_space_group_name_H-M_alt 'R -3 m'
_space_group_IT_number 166
_space_group_name_Hall '-R 3 2"'
_cell_length_a 3.6066
_cell_length_b 3.6066
_cell_length_c 23.6637
_cell_angle_alpha 90.00
_cell_angle_beta 90.00
_cell_angle_gamma 120.00
loop_
_atom_site_label
_atom_site_type_symbol
_atom_site_fract_x
_atom_site_fract_y
_atom_site_fract_z
_atom_site_occupancy
Ho1 Ho 0.0000 0.0000 0.2231 1
Sn1 Sn 0.0000 0.0000 0.0000 1
C1 C 0.0000 0.0000 0.5000 1

=====

# Ho2SnC (PBE, optimized geometry)
# * E_form: -243.7 meV per atom
# * raw total energy: -0.2146 Ha/atom
# * total magnetization: 0.00 μB/cell
data_Ho2SnC
_chemical_formula_sum 'Ho2 Sn1 C1'
_space_group_name_H-M_alt 'P 1 2/m 1'
_space_group_IT_number 10
_cell_length_a 3.3551
_cell_length_b 3.3165
_cell_length_c 7.7946
_cell_angle_alpha 90.00
_cell_angle_beta 98.36
_cell_angle_gamma 90.00
loop_
_space_group_symop_operation_xyz
'x,y,z'
'-x,-y,-z'
'-x,y,-z'
'x,-y,z'
loop_
_atom_site_label
_atom_site_type_symbol
_atom_site_fract_x
_atom_site_fract_y
_atom_site_fract_z
_atom_site_occupancy
Ho1 Ho 0.1495 0.0000 0.3167 1
Sn1 Sn 0.5000 0.5000 0.0000 1
C1 C 0.5000 0.5000 0.5000 1

=====

# Ho6Sn2C (PBE, optimized geometry)
# * E_form: -87.7 meV per atom
# * raw total energy: -0.1857 Ha/atom
# * total magnetization: 0.00 μB/cell
# * energy above the most stable polymorph in this dataset: 41.05 kJ per mole of atoms
data_Ho6Sn2C
_chemical_formula_sum 'Ho12 Sn4 C2'
_space_group_name_H-M_alt 'I m m m'
_space_group_IT_number 71
_space_group_name_Hall '-I 2 2'
_cell_length_a 4.9616
_cell_length_b 6.8688
_cell_length_c 14.2628
_cell_angle_alpha 90.00
_cell_angle_beta 90.00
_cell_angle_gamma 90.00
loop_
_atom_site_label
_atom_site_type_symbol
_atom_site_fract_x
_atom_site_fract_y
_atom_site_fract_z
_atom_site_occupancy
Ho1 Ho 0.0000 0.2235 0.0000 1
Ho2 Ho 0.0000 0.2645 0.3529 1
Sn1 Sn 0.0000 0.5000 0.1689 1
C1 C 0.0000 0.5000 0.5000 1

=====

# Ho8SnC4 (PBE, optimized geometry)
# * E_form: -352.9 meV per atom
# * raw total energy: -0.2321 Ha/atom
# * total magnetization: 0.00 μB/cell
data_Ho8SnC4
_chemical_formula_sum 'Ho16 Sn2 C8'
_space_group_name_H-M_alt 'C 1 2/m 1'
_space_group_IT_number 12
_cell_length_a 17.2974
_cell_length_b 3.6120
_cell_length_c 11.8163
_cell_angle_alpha 90.00
_cell_angle_beta 131.13
_cell_angle_gamma 90.00
loop_
_space_group_symop_operation_xyz
'x,y,z'
'-x,-y,-z'
'-x,y,-z'
'x,-y,z'
'x+1/2,y+1/2,z'
'-x+1/2,-y+1/2,-z'
'-x+1/2,y+1/2,-z'
'x+1/2,-y+1/2,z'
loop_
_atom_site_label
_atom_site_type_symbol
_atom_site_fract_x
_atom_site_fract_y
_atom_site_fract_z
_atom_site_occupancy
Ho1 Ho 0.0418 0.0000 0.2382 1
Ho2 Ho 0.1317 0.5000 0.0895 1
Ho3 Ho 0.1635 0.5000 0.8384 1
Ho4 Ho 0.2027 0.5000 0.5668 1
Sn1 Sn 0.0000 0.0000 0.5000 1
C1 C 0.1484 0.0000 0.9622 1
C2 C 0.1668 0.5000 0.3294 1

=====

# Ho5Sn2C (PBE, optimized geometry)
# * E_form: -83.3 meV per atom
# * raw total energy: -0.1874 Ha/atom
# * total magnetization: 4.06 μB/cell
data_Ho5Sn2C
_chemical_formula_sum 'Ho20 Sn8 C4'
_space_group_name_H-M_alt 'C m c m'
_space_group_IT_number 63
_space_group_name_Hall '-C 2c 2'
_cell_length_a 5.1500
_cell_length_b 15.9724
_cell_length_c 12.1123
_cell_angle_alpha 90.00
_cell_angle_beta 90.00
_cell_angle_gamma 90.00
loop_
_atom_site_label
_atom_site_type_symbol
_atom_site_fract_x
_atom_site_fract_y
_atom_site_fract_z
_atom_site_occupancy
Ho1 Ho 0.0000 0.0748 0.1143 1
Ho2 Ho 0.0000 0.2820 0.0863 1
Ho3 Ho 0.0000 0.3055 0.7500 1
Sn1 Sn 0.0000 0.1242 0.6260 1
C1 C 0.0000 0.1802 0.2500 1